Here is a relaxed structure of HfNiSbAu from the Open Quantum Materials Database. Energies are from PBE-GGA.

Unit cell a=6.6361 b=6.6361 c=6.6361 alpha=90.00 beta=90.00 gamma=90.00
Closest atoms and distances in Å follow each position.
Space group F-43m (No. 216)
Unique sites:
Hf (0.0000, 0.0000, 0.0000) x4  4 Sb 2.87, 4 Au 2.87
Ni (0.0000, 0.0000, 0.5000) x4  4 Sb 2.87, 4 Au 2.87
Sb (0.2500, 0.2500, 0.2500) x4  4 Hf 2.87, 4 Ni 2.87
Au (0.2500, 0.2500, 0.7500) x4  4 Hf 2.87, 4 Ni 2.87

uncorrected energy = -5.903 eV/atom